# 1
The following is a GGA-PBE calculation of a relaxed structure of HgGeF3, from Alexandria.

Properties
M_tot: 0.5 μB/cell
Formation energy (no corrections): -1488 meV/atom

a b c (Å): 4.3444 4.3444 4.3444
angles (deg): 90.00 90.00 90.00
Last column: nearest neighbours and their distance in Å.
Element x y z (fractional)
Ge 0.0000 0.0000 0.0000  6 F 2.17
Hg 0.5000 0.5000 0.5000  12 F 3.07
F 0.0000 0.5000 0.0000  2 Ge 2.17
F 0.0000 0.0000 0.5000  2 Ge 2.17
F 0.5000 0.0000 0.0000  2 Ge 2.17

# 2
The following is a GGA-PBE calculation of a relaxed structure of Pm3Al4Ni4, from Alexandria.

Properties
Formation energy from the elements: -0.423 eV/atom
M_tot: 0.0 μB/cell

a b c (Å): 6.4969 6.4969 6.4969
angles (deg): 109.47 109.47 109.47
Last column: nearest neighbours and their distance in Å.
Element x y z (fractional)
Pm 0.5000 0.5000 0.0000  4 Ni 3.07, 4 Al 3.09
Pm 0.5000 0.0000 0.5000  4 Ni 3.07, 4 Al 3.09
Pm 0.0000 0.5000 0.5000  4 Ni 3.07, 4 Al 3.09
Al 0.0000 0.2650 0.0000  4 Ni 2.35-2.46
Al 0.0000 0.0000 0.2650  4 Ni 2.35-2.46
Al 0.2650 0.0000 0.0000  4 Ni 2.35-2.46
Al 0.7350 0.7350 0.7350  4 Ni 2.35-2.46
Ni 0.0000 0.6266 0.0000  4 Al 2.35-2.46
Ni 0.6266 0.0000 0.0000  4 Al 2.35-2.46
Ni 0.0000 0.0000 0.6266  4 Al 2.35-2.46
Ni 0.3734 0.3734 0.3734  4 Al 2.35-2.46

# 3
The following is a GGA-PBE calculation of a relaxed structure of KCaNi2, from Alexandria.

Properties
Formation energy from the elements: 0.632 eV/atom
M_tot: 0.7 μB/cell

a b c (Å): 4.9088 4.9088 9.9853
angles (deg): 75.77 75.77 90.00
Last column: nearest neighbours and their distance in Å.
Element x y z (fractional)
Ni 0.8745 0.1250 0.2500  2 Ni 2.45, 2 Ca 2.64
Ni 0.8755 0.6250 0.2500  2 Ni 2.45, 2 Ca 2.64
Ni 0.3750 0.1255 0.7500  2 Ni 2.45, 2 Ca 2.64
Ni 0.8750 0.1245 0.7500  2 Ni 2.45, 2 Ca 2.64
Ca 0.0000 0.0000 0.0000  4 Ni 2.64
Ca 0.7500 0.2500 0.5000  4 Ni 2.64
K 0.5000 0.5000 0.0000  4 Ca 3.47, 8 Ni 3.61
K 0.2500 0.7500 0.5000  4 Ca 3.47, 8 Ni 3.61

# 4
The following is a GGA-PBE calculation of a relaxed structure of DyHoTeS, from Alexandria.

Properties
M_tot: 0.0 μB/cell
Formation energy (no corrections): -1669 meV/atom

a b c (Å): 4.0011 4.0019 7.4819
angles (deg): 90.00 105.51 120.00
Last column: nearest neighbours and their distance in Å.
Element x y z (fractional)
Dy 0.1072 0.9515 0.0738  3 S 2.72
Ho 0.4971 0.1465 0.6588  3 S 2.76
Te 0.9683 0.3822 0.3657  3 Dy 3.11, 3 Ho 3.11
S 0.3054 0.5506 0.8713  3 Dy 2.72, 3 Ho 2.76

# 5
The following is a GGA-PBE calculation of a relaxed structure of SrCa2Dy, from Alexandria.

Properties
Formation energy from the elements: 0.157 eV/atom
M_tot: 0.0 μB/cell

a b c (Å): 4.2328 6.1624 6.1624
angles (deg): 90.00 90.00 90.00
Last column: nearest neighbours and their distance in Å.
Element x y z (fractional)
Sr 0.5000 0.5000 0.5000  8 Ca 3.74
Ca 0.0000 0.0000 0.5000  4 Sr 3.74, 4 Dy 3.74
Ca 0.0000 0.5000 0.0000  4 Sr 3.74, 4 Dy 3.74
Dy 0.5000 0.0000 0.0000  8 Ca 3.74

# 6
The following is a GGA-PBE calculation of a relaxed structure of K3LaH, from Alexandria.

Properties
M_tot: 3.0 μB/cell
E: -1.17 eV/atom

a b c (Å): 7.4801 7.4801 7.4801
angles (deg): 90.00 90.00 90.00
Last column: nearest neighbours and their distance in Å.
Element x y z (fractional)
H 0.5000 0.5000 0.5000  12 K 5.29
K 0.0000 0.5000 0.0000  2 La 3.74
K 0.0000 0.0000 0.5000  2 La 3.74
K 0.5000 0.0000 0.0000  2 La 3.74
La 0.0000 0.0000 0.0000  6 K 3.74

# 7
The following is a GGA-PBE calculation of a relaxed structure of TbTh2C, from Alexandria.

Properties
Formation energy from the elements: -0.010 eV/atom
M_tot: 0.0 μB/cell

a b c (Å): 3.5782 3.5782 10.0888
angles (deg): 79.79 79.79 60.00
Last column: nearest neighbours and their distance in Å.
Element x y z (fractional)
C 0.5000 0.5000 0.5000  6 Th 2.54
Tb 0.0000 0.0000 0.0000  2 Th 3.46, 6 Tb 3.58
Th 0.1166 0.1166 0.6500  3 C 2.54
Th 0.8834 0.8834 0.3500  3 C 2.54

# 8
The following is a GGA-PBE calculation of a relaxed structure of GdUTc2, from Alexandria.

Properties
Formation energy from the elements: 0.095 eV/atom
M_tot: 6.0 μB/cell

a b c (Å): 4.8145 4.8145 4.8145
angles (deg): 60.00 60.00 60.00
Last column: nearest neighbours and their distance in Å.
Element x y z (fractional)
Gd 0.0000 0.0000 0.0000  8 Tc 2.95
U 0.5000 0.5000 0.5000  8 Tc 2.95
Tc 0.2500 0.2500 0.2500  4 Gd 2.95, 4 U 2.95
Tc 0.7500 0.7500 0.7500  4 Gd 2.95, 4 U 2.95

# 9
The following is a GGA-PBE calculation of a relaxed structure of Er6TlTe, from Alexandria.

Properties
M_tot: 0.0 μB/cell
Formation energy (no corrections): -250 meV/atom

a b c (Å): 8.6237 8.6202 6.1033
angles (deg): 45.05 45.04 60.00
Last column: nearest neighbours and their distance in Å.
Element x y z (fractional)
Er 0.0017 0.5001 0.7515  2 Er 3.01-3.09
Er 0.7464 0.0013 0.7512  2 Er 3.01-3.09
Er 0.5001 0.2533 0.2482  2 Er 3.01-3.09
Er 0.2536 0.9987 0.2488  2 Er 3.01-3.09
Er 0.9983 0.4999 0.2485  2 Er 3.01-3.09
Er 0.4999 0.7467 0.7518  2 Er 3.01-3.09
Tl 0.5000 0.5000 0.5000  12 Er 3.39-3.41
Te 0.0000 0.0000 0.0000  12 Er 3.42-3.43

# 10
The following is a GGA-PBE calculation of a relaxed structure of Fe3CuRh12, from Alexandria.

Properties
Formation energy from the elements: -0.025 eV/atom
M_tot: 4.4 μB/cell

a b c (Å): 3.8150 3.8150 15.1953
angles (deg): 90.00 90.00 90.00
Last column: nearest neighbours and their distance in Å.
Element x y z (fractional)
Fe 0.0000 0.0000 0.2492  12 Rh 2.67-2.70
Fe 0.0000 0.0000 0.5000  12 Rh 2.69-2.70
Fe 0.0000 0.0000 0.7508  12 Rh 2.67-2.70
Cu 0.0000 0.0000 0.0000  12 Rh 2.70-2.71
Rh 0.5000 0.5000 0.0000  4 Cu 2.70, 8 Rh 2.71
Rh 0.5000 0.5000 0.2507  8 Rh 2.68-2.69, 4 Fe 2.70
Rh 0.5000 0.5000 0.5000  8 Rh 2.69, 4 Fe 2.70
Rh 0.5000 0.5000 0.7493  8 Rh 2.68-2.69, 4 Fe 2.70
Rh 0.5000 0.0000 0.1264  2 Fe 2.67, 8 Rh 2.68-2.71, 2 Cu 2.71
Rh 0.5000 0.0000 0.3751  8 Rh 2.69-2.70, 4 Fe 2.69-2.70
Rh 0.5000 0.0000 0.6249  8 Rh 2.69-2.70, 4 Fe 2.69-2.70
Rh 0.5000 0.0000 0.8736  2 Fe 2.67, 8 Rh 2.68-2.71, 2 Cu 2.71
Rh 0.0000 0.5000 0.1264  2 Fe 2.67, 8 Rh 2.68-2.71, 2 Cu 2.71
Rh 0.0000 0.5000 0.3751  8 Rh 2.69-2.70, 4 Fe 2.69-2.70
Rh 0.0000 0.5000 0.6249  8 Rh 2.69-2.70, 4 Fe 2.69-2.70
Rh 0.0000 0.5000 0.8736  2 Fe 2.67, 8 Rh 2.68-2.71, 2 Cu 2.71

# 11
The following is a GGA-PBE calculation of a relaxed structure of Hf3TaFe8, from Alexandria.

Properties
Formation energy from the elements: -0.292 eV/atom
M_tot: 12.1 μB/cell

a b c (Å): 4.9095 4.9095 7.9981
angles (deg): 90.00 90.00 120.00
Last column: nearest neighbours and their distance in Å.
Element x y z (fractional)
Hf 0.3333 0.6667 0.4403  12 Fe 2.83-2.88, 3 Ta 3.00, 1 Hf 3.02
Hf 0.3333 0.6667 0.0627  12 Fe 2.88-2.89, 4 Hf 3.01-3.02
Hf 0.6667 0.3333 0.9350  12 Fe 2.88-2.90, 1 Ta 2.98, 3 Hf 3.01
Ta 0.6667 0.3333 0.5620  12 Fe 2.84-2.88, 4 Hf 2.98-3.00
Fe 0.0000 0.0000 0.5006  6 Fe 2.44-2.45
Fe 0.0000 0.0000 0.9997  6 Fe 2.47-2.48
Fe 0.1682 0.3364 0.7474  6 Fe 2.43-2.48
Fe 0.1682 0.8318 0.7474  6 Fe 2.43-2.48
Fe 0.6636 0.8318 0.7474  6 Fe 2.43-2.48
Fe 0.8314 0.6628 0.2526  6 Fe 2.43-2.48
Fe 0.8314 0.1686 0.2526  6 Fe 2.43-2.48
Fe 0.3372 0.1686 0.2526  6 Fe 2.43-2.48

# 12
The following is a GGA-PBE calculation of a relaxed structure of Rb4Tb3UTe8, from Alexandria.

Properties
M_tot: 3.0 μB/cell
Formation energy (no corrections): -1242 meV/atom

a b c (Å): 9.1009 10.0487 9.1012
angles (deg): 116.94 120.00 90.00
Last column: nearest neighbours and their distance in Å.
Element x y z (fractional)
Rb 0.5000 0.0000 0.0000  6 Te 3.65-3.66
Rb 0.5000 0.0000 0.5000  6 Te 3.68
Rb 0.0000 0.0000 0.0000  6 Te 3.68
Rb 0.0000 0.0000 0.5000  6 Te 3.68
Tb 0.5000 0.5000 0.0000  6 Te 3.13-3.14
Tb 0.5000 0.5000 0.5000  6 Te 3.13-3.14
Tb 0.0000 0.5000 0.5000  6 Te 3.13-3.14
U 0.0000 0.5000 0.0000  6 Te 3.16
Te 0.2350 0.7008 0.9659  2 Tb 3.13, 1 U 3.16
Te 0.2349 0.7008 0.4699  2 Tb 3.13, 1 U 3.16
Te 0.2667 0.3002 0.5334  3 Tb 3.14
Te 0.7310 0.7008 0.9659  2 Tb 3.13, 1 U 3.16
Te 0.2690 0.2992 0.0341  2 Tb 3.13, 1 U 3.16
Te 0.7333 0.6998 0.4666  3 Tb 3.14
Te 0.7651 0.2992 0.5301  2 Tb 3.13, 1 U 3.16
Te 0.7650 0.2992 0.0341  2 Tb 3.13, 1 U 3.16